Record 1
This record from Alexandria describes a PBEsol-optimized structure of Be2AuSe. The functional is meta-GGA SCAN.

The structure in POSCAR format:
```
Be2AuSe
1.0
3.491 0.000 0.000
0.000 1.750 5.229
0.000 -1.750 5.229
Be Au Se
2 1 1
Direct
0.000 0.000 0.000
0.500 0.495 0.495
0.500 0.858 0.858
0.000 0.635 0.635
```

Results
- raw formation energy (eV/atom) = -0.306
- space-group type = Amm2 (38)
- calculated total energy (eV per atom) = -24.79

***

Record 2
This record from Alexandria describes a PBEsol-optimized structure of Fe3P4O14. The functional is meta-GGA SCAN.

The structure in POSCAR format:
```
Fe3P4O14
1.0
9.001 0.000 0.000
0.000 12.162 0.000
0.000 0.000 10.189
Fe P O
12 16 56
Direct
0.247 0.250 0.117
0.249 0.515 0.619
0.249 0.985 0.619
0.251 0.015 0.119
0.251 0.485 0.119
0.253 0.750 0.617
0.747 0.250 0.383
0.749 0.515 0.881
0.749 0.985 0.881
0.751 0.015 0.381
0.751 0.485 0.381
0.753 0.750 0.883
0.071 0.127 0.863
0.071 0.373 0.863
0.088 0.134 0.382
0.088 0.366 0.382
0.412 0.634 0.882
0.412 0.866 0.882
0.429 0.627 0.363
0.429 0.873 0.363
0.571 0.127 0.637
0.571 0.373 0.637
0.588 0.134 0.118
0.588 0.366 0.118
0.912 0.634 0.618
0.912 0.866 0.618
0.929 0.627 0.137
0.929 0.873 0.137
0.041 0.250 0.813
0.079 0.576 0.107
0.079 0.924 0.107
0.083 0.637 0.627
0.083 0.863 0.627
0.135 0.250 0.446
0.147 0.045 0.468
0.147 0.455 0.468
0.153 0.069 0.753
0.153 0.431 0.753
0.157 0.133 0.243
0.157 0.367 0.243
0.167 0.137 0.988
0.167 0.363 0.988
0.333 0.637 0.488
0.333 0.863 0.488
0.343 0.633 0.743
0.343 0.867 0.743
0.347 0.569 0.253
0.347 0.931 0.253
0.353 0.545 0.968
0.353 0.955 0.968
0.365 0.750 0.946
0.417 0.137 0.127
0.417 0.363 0.127
0.421 0.076 0.607
0.421 0.424 0.607
0.459 0.750 0.313
0.541 0.250 0.687
0.579 0.576 0.393
0.579 0.924 0.393
0.583 0.637 0.873
0.583 0.863 0.873
0.635 0.250 0.054
0.647 0.045 0.032
0.647 0.455 0.032
0.653 0.069 0.747
0.653 0.431 0.747
0.657 0.133 0.257
0.657 0.367 0.257
0.667 0.137 0.512
0.667 0.363 0.512
0.833 0.637 0.012
0.833 0.863 0.012
0.843 0.633 0.757
0.843 0.867 0.757
0.847 0.569 0.247
0.847 0.931 0.247
0.853 0.545 0.532
0.853 0.955 0.532
0.865 0.750 0.554
0.917 0.137 0.373
0.917 0.363 0.373
0.921 0.076 0.893
0.921 0.424 0.893
0.959 0.750 0.187
```

Results
- raw formation energy (eV/atom) = -2.207
- space-group type = Pnma (62)
- calculated total energy (eV per atom) = -10.93